Material: PaAsIr
Method: DFT, GGA-PBE
State: optimized geometry

abc: 3.7446 3.7446 5.1556
angles: 111.29 111.29 90.00
Element x y z (fractional)
Pa (0.2945, 0.2945, 0.5890)
Ir (0.9263, 0.9263, 0.8526)
As (0.6292, 0.6292, 0.2584)

The calculation puts the energy relative to the elements at -515 meV per atom. The value obtained for the spin magnetization is 0.002 μB per formula unit. As for the space group: No. 107.